[1]
The following is a DFT calculation (PBE) of a relaxed structure of SrCrCl2.

DOS(E_F), states/eV per cell: 0.87
Electronic total energy, eV per atom: -4.626
Space-group type: P4mm
Excess energy over the best structure of this formula in the dataset, meV per atom: 42

a = 4.1059 Å, b = 4.1034 Å, c = 6.1375 Å
α = 90.00°, β = 90.00°, γ = 90.00°
Site moments in Bohr magnetons follow the coordinates.
Positions (direct):
Cl (0.5000, 0.5000, 0.3064)  0.09
Cl (0.0000, 0.0000, 0.9763)  0.05
Sr (0.5000, 0.5000, 0.7951)  0.11
Cr (0.0000, 0.0000, 0.4222)  4.32


[2]
The following is a DFT calculation (PBE) of a relaxed structure of La8Tl3.

DOS(E_F), states/eV per cell: 17.28
Electronic total energy, eV per atom: -4.210
Space-group type: R-3
Formation energy, eV per atom: 0.02
Excess energy over the best structure of this formula in the dataset, meV per atom: 247

a = 7.5058 Å, b = 7.5058 Å, c = 7.5058 Å
α = 86.85°, β = 86.85°, γ = 86.85°
Positions (direct):
La (0.1298, 0.6852, 0.8443)
La (0.3918, 0.3918, 0.3918)
La (0.3148, 0.1557, 0.8702)
La (0.1557, 0.8702, 0.3148)
La (0.8702, 0.3148, 0.1557)
La (0.6082, 0.6082, 0.6082)
La (0.8443, 0.1298, 0.6852)
La (0.6852, 0.8443, 0.1298)
Tl (0.5000, 0.5000, 0.0000)
Tl (0.0000, 0.5000, 0.5000)
Tl (0.5000, 0.0000, 0.5000)


[3]
The following is a DFT calculation (PBE) of a relaxed structure of Hf3TaB4.

DOS(E_F), states/eV per cell: 2.78
Electronic total energy, eV per atom: -9.066
Space-group type: Immm
Formation energy, eV per atom: -0.51

a = 3.4680 Å, b = 4.9777 Å, c = 7.0676 Å
α = 110.63°, β = 104.20°, γ = 90.00°
Positions (direct):
Hf (0.0000, 0.5000, 0.0000)
Hf (0.1907, 0.1906, 0.3814)
Hf (0.8093, 0.8094, 0.6186)
B (0.6299, 0.4604, 0.2597)
B (0.3701, 0.5396, 0.7403)
B (0.6299, 0.7996, 0.2597)
B (0.3701, 0.2004, 0.7403)
Ta (0.5000, 0.0000, 0.0000)


[4]
The following is a DFT calculation (PBE) of a relaxed structure of SrHfI2.

DOS(E_F), states/eV per cell: 10.99
Electronic total energy, eV per atom: -3.737
Space-group type: I-42d
Excess energy over the best structure of this formula in the dataset, meV per atom: 100

a = 5.5808 Å, b = 5.5808 Å, c = 10.5654 Å
α = 74.69°, β = 74.69°, γ = 90.00°
Site moments in Bohr magnetons follow the coordinates.
Positions (direct):
I (0.3750, 0.3315, 0.7500)  0.01
I (0.8750, 0.9185, 0.7500)  0.01
I (0.0815, 0.6250, 0.2500)  0.01
I (0.6685, 0.1250, 0.2500)  0.01
Sr (0.2500, 0.7500, 0.5000)  0.07
Sr (0.5000, 0.5000, 0.0000)  0.07
Hf (0.0000, 0.0000, 0.0000)  0.82
Hf (0.7500, 0.2500, 0.5000)  0.83